Arrangement i

Compound: AlFe3Bi
Source: Alexandria
Functional: GGA-PBE
Structure: relaxed

Geometry as CIF:
```
data_AlFe3Bi
_chemical_formula_sum 'Al1 Fe3 Bi1'
_symmetry_space_group_name_H-M 'P m -3 m'
_symmetry_Int_Tables_number 221
_symmetry_space_group_name_Hall '-P 4 2 3'
_cell_length_a 4.905
_cell_length_b 4.905
_cell_length_c 4.905
_cell_angle_alpha 90.00
_cell_angle_beta 90.00
_cell_angle_gamma 90.00
loop_
_atom_site_label
_atom_site_type_symbol
_atom_site_fract_x
_atom_site_fract_y
_atom_site_fract_z
Al1 Al 0.000 0.000 0.000
Fe1 Fe 0.000 0.500 0.500
Bi1 Bi 0.500 0.500 0.500
```

Calculated values
crystal system: cubic


Arrangement ii

Compound: AlFe3Bi
Source: Alexandria
Functional: GGA-PBE
Structure: relaxed

Geometry as CIF:
```
data_AlFe3Bi
_chemical_formula_sum 'Al1 Fe3 Bi1'
_symmetry_space_group_name_H-M 'P m -3 m'
_symmetry_Int_Tables_number 221
_symmetry_space_group_name_Hall '-P 4 2 3'
_cell_length_a 4.467
_cell_length_b 4.467
_cell_length_c 4.467
_cell_angle_alpha 90.00
_cell_angle_beta 90.00
_cell_angle_gamma 90.00
loop_
_atom_site_label
_atom_site_type_symbol
_atom_site_fract_x
_atom_site_fract_y
_atom_site_fract_z
Al1 Al 0.000 0.000 0.000
Fe1 Fe 0.000 0.000 0.500
Bi1 Bi 0.500 0.500 0.500
```

Calculated values
crystal system: cubic


Winner for stability: arrangement ii


Arrangement i

Compound: Al2GaBi2
Source: Alexandria
Functional: GGA-PBE
Structure: relaxed

Geometry as CIF:
```
data_Al2GaBi2
_chemical_formula_sum 'Al4 Ga2 Bi4'
_symmetry_space_group_name_H-M 'P 4/m b m'
_symmetry_Int_Tables_number 127
_symmetry_space_group_name_Hall '-P 4 2ab'
_cell_length_a 7.971
_cell_length_b 7.971
_cell_length_c 3.920
_cell_angle_alpha 90.00
_cell_angle_beta 90.00
_cell_angle_gamma 90.00
loop_
_atom_site_label
_atom_site_type_symbol
_atom_site_fract_x
_atom_site_fract_y
_atom_site_fract_z
Al1 Al 0.126 0.374 0.000
Ga1 Ga 0.000 0.000 0.000
Bi1 Bi 0.172 0.672 0.500
```

Calculated values
crystal system: tetragonal


Arrangement ii

Compound: Al2GaBi2
Source: Alexandria
Functional: GGA-PBE
Structure: relaxed

Geometry as CIF:
```
data_Al2GaBi2
_chemical_formula_sum 'Al4 Ga2 Bi4'
_symmetry_space_group_name_H-M 'I 4/m m m'
_symmetry_Int_Tables_number 139
_symmetry_space_group_name_Hall '-I 4 2'
_cell_length_a 4.250
_cell_length_b 4.250
_cell_length_c 15.104
_cell_angle_alpha 90.00
_cell_angle_beta 90.00
_cell_angle_gamma 90.00
loop_
_atom_site_label
_atom_site_type_symbol
_atom_site_fract_x
_atom_site_fract_y
_atom_site_fract_z
Al1 Al 0.000 0.500 0.250
Ga1 Ga 0.000 0.000 0.000
Bi1 Bi 0.000 0.000 0.384
```

Calculated values
crystal system: tetragonal


Winner for stability: arrangement ii


Arrangement i

Compound: AlGa2Bi
Source: Alexandria
Functional: GGA-PBE
Structure: relaxed

Geometry as CIF:
```
data_AlGa2Bi
_chemical_formula_sum 'Al4 Ga8 Bi4'
_symmetry_space_group_name_H-M 'I -4 2 d'
_symmetry_Int_Tables_number 122
_symmetry_space_group_name_Hall 'I -4 2bw'
_cell_length_a 4.353
_cell_length_b 4.353
_cell_length_c 19.976
_cell_angle_alpha 90.00
_cell_angle_beta 90.00
_cell_angle_gamma 90.00
loop_
_atom_site_label
_atom_site_type_symbol
_atom_site_fract_x
_atom_site_fract_y
_atom_site_fract_z
Al1 Al 0.000 0.000 0.000
Ga1 Ga 0.188 0.250 0.125
Bi1 Bi 0.000 0.000 0.500
```

Calculated values
crystal system: tetragonal


Arrangement ii

Compound: AlGa2Bi
Source: Alexandria
Functional: GGA-PBE
Structure: relaxed

Geometry as CIF:
```
data_AlGa2Bi
_chemical_formula_sum 'Al1 Ga2 Bi1'
_symmetry_space_group_name_H-M 'P 4/m m m'
_symmetry_Int_Tables_number 123
_symmetry_space_group_name_Hall '-P 4 2'
_cell_length_a 3.653
_cell_length_b 3.653
_cell_length_c 6.582
_cell_angle_alpha 90.00
_cell_angle_beta 90.00
_cell_angle_gamma 90.00
loop_
_atom_site_label
_atom_site_type_symbol
_atom_site_fract_x
_atom_site_fract_y
_atom_site_fract_z
Al1 Al 0.000 0.000 0.000
Ga1 Ga 0.500 0.500 0.208
Bi1 Bi 0.000 0.000 0.500
```

Calculated values
crystal system: tetragonal


Winner for stability: arrangement ii


Arrangement i

Compound: Al2GaBi
Source: Alexandria
Functional: GGA-PBE
Structure: relaxed

Geometry as CIF:
```
data_Al2GaBi
_chemical_formula_sum 'Al8 Ga4 Bi4'
_symmetry_space_group_name_H-M 'F m -3 m'
_symmetry_Int_Tables_number 225
_symmetry_space_group_name_Hall '-F 4 2 3'
_cell_length_a 7.113
_cell_length_b 7.113
_cell_length_c 7.113
_cell_angle_alpha 90.00
_cell_angle_beta 90.00
_cell_angle_gamma 90.00
loop_
_atom_site_label
_atom_site_type_symbol
_atom_site_fract_x
_atom_site_fract_y
_atom_site_fract_z
Al1 Al 0.250 0.250 0.250
Ga1 Ga 0.000 0.000 0.000
Bi1 Bi 0.000 0.000 0.500
```

Calculated values
crystal system: cubic


Arrangement ii

Compound: Al2GaBi
Source: Alexandria
Functional: GGA-PBE
Structure: relaxed

Geometry as CIF:
```
data_Al2GaBi
_chemical_formula_sum 'Al6 Ga3 Bi3'
_symmetry_space_group_name_H-M 'R -3 m'
_symmetry_Int_Tables_number 166
_symmetry_space_group_name_Hall '-R 3 2"'
_cell_length_a 4.1850
_cell_length_b 4.1850
_cell_length_c 17.8421
_cell_angle_alpha 90.00
_cell_angle_beta 90.00
_cell_angle_gamma 120.00
loop_
_atom_site_label
_atom_site_type_symbol
_atom_site_fract_x
_atom_site_fract_y
_atom_site_fract_z
Al1 Al 0.0000 0.0000 0.2271
Ga1 Ga 0.0000 0.0000 0.5000
Bi1 Bi 0.0000 0.0000 0.0000
```

Calculated values
crystal system: trigonal


Winner for stability: arrangement ii


Arrangement i

Compound: AlGa3Bi
Source: Alexandria
Functional: GGA-PBE
Structure: relaxed

Geometry as CIF:
```
data_AlGa3Bi
_chemical_formula_sum 'Al1 Ga3 Bi1'
_symmetry_space_group_name_H-M 'P m -3 m'
_symmetry_Int_Tables_number 221
_symmetry_space_group_name_Hall '-P 4 2 3'
_cell_length_a 4.998
_cell_length_b 4.998
_cell_length_c 4.998
_cell_angle_alpha 90.00
_cell_angle_beta 90.00
_cell_angle_gamma 90.00
loop_
_atom_site_label
_atom_site_type_symbol
_atom_site_fract_x
_atom_site_fract_y
_atom_site_fract_z
Al1 Al 0.000 0.000 0.000
Ga1 Ga 0.000 0.000 0.500
Bi1 Bi 0.500 0.500 0.500
```

Calculated values
crystal system: cubic


Arrangement ii

Compound: AlGa3Bi
Source: Alexandria
Functional: GGA-PBE
Structure: relaxed

Geometry as CIF:
```
data_AlGa3Bi
_chemical_formula_sum 'Al1 Ga3 Bi1'
_symmetry_space_group_name_H-M 'P m -3 m'
_symmetry_Int_Tables_number 221
_symmetry_space_group_name_Hall '-P 4 2 3'
_cell_length_a 5.530
_cell_length_b 5.530
_cell_length_c 5.530
_cell_angle_alpha 90.00
_cell_angle_beta 90.00
_cell_angle_gamma 90.00
loop_
_atom_site_label
_atom_site_type_symbol
_atom_site_fract_x
_atom_site_fract_y
_atom_site_fract_z
Al1 Al 0.000 0.000 0.000
Ga1 Ga 0.000 0.500 0.500
Bi1 Bi 0.500 0.500 0.500
```

Calculated values
crystal system: cubic


Winner for stability: arrangement i


Arrangement i

Compound: GdAlBi2
Source: Alexandria
Functional: GGA-PBE
Structure: relaxed

Geometry as CIF:
```
data_GdAlBi2
_chemical_formula_sum 'Gd3 Al3 Bi6'
_symmetry_space_group_name_H-M 'R -3 m'
_symmetry_Int_Tables_number 166
_symmetry_space_group_name_Hall '-R 3 2"'
_cell_length_a 3.7461
_cell_length_b 3.7461
_cell_length_c 30.9902
_cell_angle_alpha 90.00
_cell_angle_beta 90.00
_cell_angle_gamma 120.00
loop_
_atom_site_label
_atom_site_type_symbol
_atom_site_fract_x
_atom_site_fract_y
_atom_site_fract_z
Gd1 Gd 0.0000 0.0000 0.0000
Al1 Al 0.0000 0.0000 0.5000
Bi1 Bi 0.0000 0.0000 0.1034
```

Calculated values
crystal system: trigonal


Arrangement ii

Compound: GdAlBi2
Source: Alexandria
Functional: GGA-PBE
Structure: relaxed

Geometry as CIF:
```
data_GdAlBi2
_chemical_formula_sum 'Gd1 Al1 Bi2'
_symmetry_space_group_name_H-M 'P 4/m m m'
_symmetry_Int_Tables_number 123
_symmetry_space_group_name_Hall '-P 4 2'
_cell_length_a 4.964
_cell_length_b 4.964
_cell_length_c 4.432
_cell_angle_alpha 90.00
_cell_angle_beta 90.00
_cell_angle_gamma 90.00
loop_
_atom_site_label
_atom_site_type_symbol
_atom_site_fract_x
_atom_site_fract_y
_atom_site_fract_z
Gd1 Gd 0.000 0.000 0.000
Al1 Al 0.500 0.500 0.000
Bi1 Bi 0.000 0.500 0.500
```

Calculated values
crystal system: tetragonal


Winner for stability: arrangement ii